Nd4Zn2Ru2C: relaxed, PBE.

Structure (extended XYZ):
```
9
Lattice="5.182 -0.382 -0.260 0.707 6.334 -0.162 0.707 2.175 5.951" Properties=species:S:1:pos:R:3 pbc="T T T"
Nd 1.827 4.128 0.592
Nd 4.769 6.059 1.907
Nd 4.769 3.998 4.936
Nd 1.827 2.067 3.622
Zn 2.059 5.312 3.614
Zn 4.537 2.815 1.915
Ru 1.397 1.027 0.699
Ru 5.199 7.099 4.830
C 2.591 -0.191 -0.130
```

V, Å³ per cell: 200
D(E_F), states/eV/atom: 0.8014
Symmetry: C2/m, No. 12
DFT formation energy, eV/f.u.: -1.93